# 1
Computed, not measured: B2H8F after structural relaxation at the GGA-PBE level of DFT.

Cell: 5.3301 5.3301 5.1767 Å, 99.24 99.24 43.44°
Positions (direct):
B1 0.2483 0.2483 0.3123
B2 0.7517 0.7517 0.6877
H1 0.0800 0.5515 0.7036
H2 0.1063 0.1063 0.1442
H3 0.3622 0.3622 0.2682
H4 0.4485 0.9200 0.2964
H5 0.5515 0.0800 0.7036
H6 0.6378 0.6378 0.7318
H7 0.8937 0.8937 0.8558
H8 0.9200 0.4485 0.2964
F1 0.0000 0.0000 0.0000

- SG: C2/m (12)
- D(E_F): 0.7 states/eV/f.u.
- E_tot: -3.765 eV per atom

=====

# 2
Computed, not measured: HoPd after structural relaxation at the GGA-PBE level of DFT.

Cell: 4.0607 4.0607 4.0607 Å, 60.00 60.00 60.00°
Positions (direct):
Ho1 0.0000 0.0000 0.0000
Pd1 0.5000 0.5000 0.5000

- SG: Fm-3m (225)
- D(E_F): 1.3 states/eV/f.u.
- E_tot: -5.634 eV per atom

=====

# 3
Computed, not measured: Ce2Pr4Bi3N2 after structural relaxation at the GGA-PBE level of DFT.

Cell: 13.7378 13.7378 13.7378 Å, 159.43 159.43 29.25°
Positions (direct):
Ce1 0.1909 0.1909 0.0000
Ce2 0.8091 0.8091 0.0000
Pr1 0.0835 0.5835 0.5000
Pr2 0.4165 0.9165 0.5000
Pr3 0.5835 0.0835 0.5000
Pr4 0.9165 0.4165 0.5000
Bi1 0.3204 0.3204 0.0000
Bi2 0.5000 0.5000 0.0000
Bi3 0.6796 0.6796 0.0000
N1 0.1093 0.1093 0.0000
N2 0.8907 0.8907 0.0000

- ΔE_f (raw): -977 meV/atom
- SG: I4/mmm (139)
- D(E_F): 16.9 states/eV/f.u.
- E_tot: -6.366 eV per atom

=====

# 4
Computed, not measured: Rb2TcAg after structural relaxation at the GGA-PBE level of DFT.

Cell: 9.3868 9.3868 9.3868 Å, 94.58 94.58 147.15°
Positions (direct):
Rb1 0.3750 0.2124 0.3374
Rb2 0.7876 0.1250 0.1626
Rb3 0.8750 0.0376 0.6626
Rb4 0.9624 0.6250 0.8374
Tc1 0.2500 0.7500 0.5000
Tc2 0.5000 0.5000 0.0000
Ag1 0.0000 0.0000 0.0000
Ag2 0.7500 0.2500 0.5000

- SG: I-42d (122)
- D(E_F): 4.0 states/eV/f.u.
- Excess energy over the best structure of this formula in the dataset: 0 meV per atom
- E_tot: -2.638 eV per atom

=====

# 5
Computed, not measured: Pm2Pr3Cd3 after structural relaxation at the GGA-PBE level of DFT.

Cell: 11.8815 11.8815 11.8815 Å, 161.29 152.89 33.15°
Positions (direct):
Pm1 0.2346 0.2346 0.0000
Pm2 0.7654 0.7654 0.0000
Pr1 0.0000 0.0000 0.0000
Pr2 0.3778 0.8778 0.5000
Pr3 0.6222 0.1222 0.5000
Cd1 0.1192 0.6192 0.5000
Cd2 0.5000 0.5000 0.0000
Cd3 0.8808 0.3808 0.5000

- SG: Immm (71)
- D(E_F): 10.3 states/eV/f.u.
- E_tot: -3.560 eV per atom

=====

# 6
Computed, not measured: HoSc3Pd after structural relaxation at the GGA-PBE level of DFT.

Cell: 6.7347 6.7347 7.3380 Å, 119.21 119.21 71.43°
Positions (direct):
Ho1 0.0439 0.0439 0.3032
Ho2 0.9561 0.9561 0.6968
Sc1 0.1062 0.5025 0.2736
Sc2 0.4235 0.4235 0.7210
Sc3 0.4975 0.8938 0.7264
Sc4 0.5025 0.1062 0.2736
Sc5 0.5765 0.5765 0.2790
Sc6 0.8938 0.4975 0.7264
Pd1 0.2750 0.2750 0.9244
Pd2 0.7250 0.7250 0.0756

- SG: C2/m (12)
- D(E_F): 7.7 states/eV/f.u.
- E_tot: -6.016 eV per atom

=====

# 7
Computed, not measured: In2HgGe after structural relaxation at the GGA-PBE level of DFT.

Cell: 6.9523 6.9523 6.9523 Å, 36.65 36.65 36.65°
Positions (direct):
In1 0.0000 0.0000 0.0000
In2 0.1907 0.1907 0.1907
Hg1 0.4253 0.4253 0.4253
Ge1 0.5917 0.5917 0.5917

- SG: R3m (160)
- D(E_F): 1.5 states/eV/f.u.
- Excess energy over the best structure of this formula in the dataset: 4 meV per atom
- E_tot: -2.504 eV per atom

=====

# 8
Computed, not measured: Sr6PAu3 after structural relaxation at the GGA-PBE level of DFT.

Cell: 7.6108 8.3627 13.4419 Å, 90.00 123.03 90.00°
Positions (direct):
Sr1 0.0905 0.0491 0.2443
Sr2 0.0905 0.4509 0.7443
Sr3 0.2377 0.6884 0.0741
Sr4 0.2377 0.8116 0.5741
Sr5 0.3893 0.1752 0.0674
Sr6 0.3893 0.3248 0.5674
Sr7 0.6107 0.6752 0.4326
Sr8 0.6107 0.8248 0.9326
Sr9 0.7623 0.1884 0.4259
Sr10 0.7623 0.3116 0.9259
Sr11 0.9095 0.5491 0.2557
Sr12 0.9095 0.9509 0.7557
P1 0.0000 0.0000 0.0000
P2 0.0000 0.5000 0.5000
Au1 0.3106 0.1087 0.7614
Au2 0.3106 0.3913 0.2614
Au3 0.5000 0.0000 0.5000
Au4 0.5000 0.5000 0.0000
Au5 0.6894 0.6087 0.7386
Au6 0.6894 0.8913 0.2386

- SG: P2_1/c (14)
- D(E_F): 6.3 states/eV/f.u.
- E_tot: -3.238 eV per atom

=====

# 9
Computed, not measured: SmCuSbPd after structural relaxation at the GGA-PBE level of DFT.

Cell: 4.8417 4.8417 4.8417 Å, 60.00 60.00 60.00°
Positions (direct):
Sm1 0.0000 0.0000 0.0000
Cu1 0.2500 0.2500 0.2500
Sb1 0.5000 0.5000 0.5000
Pd1 0.7500 0.7500 0.7500

- ΔE_f (raw): -579 meV/atom
- SG: F-43m (216)
- D(E_F): 1.5 states/eV/f.u.
- E_tot: -5.111 eV per atom

=====

# 10
Computed, not measured: PmPuTl2O8 after structural relaxation at the GGA-PBE level of DFT.

Cell: 5.2592 5.2592 6.9108 Å, 90.00 90.00 92.26°
Positions (direct):
Pm1 0.0000 0.0000 0.0000
Pu1 0.0000 0.0000 0.5000
Tl1 0.5000 0.5000 0.2504
Tl2 0.5000 0.5000 0.7496
O1 0.1729 0.8271 0.2881
O2 0.1729 0.8271 0.7119
O3 0.2965 0.2965 0.5000
O4 0.3101 0.3101 0.0000
O5 0.6899 0.6899 0.0000
O6 0.7035 0.7035 0.5000
O7 0.8271 0.1729 0.2881
O8 0.8271 0.1729 0.7119

- ΔE_f (raw): -1806 meV/atom
- SG: Cmmm (65)
- D(E_F): 0.7 states/eV/f.u.
- E_tot: -7.096 eV per atom

=====

# 11
Computed, not measured: TmUPa2 after structural relaxation at the GGA-PBE level of DFT.

Cell: 12.0871 12.0871 12.0871 Å, 14.82 14.82 14.82°
Positions (direct):
Tm1 0.0000 0.0000 0.0000
U1 0.5000 0.5000 0.5000
Pa1 0.0873 0.0873 0.0873
Pa2 0.9127 0.9127 0.9127

- SG: R-3m (166)
- D(E_F): 10.3 states/eV/f.u.
- E_tot: -8.333 eV per atom

=====

# 12
Computed, not measured: Zr4HgPb after structural relaxation at the GGA-PBE level of DFT.

Cell: 8.6373 8.6373 6.6317 Å, 99.05 99.05 38.10°
Positions (direct):
Zr1 0.0315 0.8183 0.5685
Zr2 0.1817 0.9685 0.9315
Zr3 0.2137 0.4875 0.9036
Zr4 0.4875 0.2137 0.4036
Zr5 0.5125 0.7863 0.5964
Zr6 0.7863 0.5125 0.0964
Zr7 0.8183 0.0315 0.0685
Zr8 0.9685 0.1817 0.4315
Hg1 0.0000 0.5000 0.5000
Hg2 0.5000 0.0000 0.0000
Pb1 0.3905 0.6095 0.2500
Pb2 0.6095 0.3905 0.7500

- SG: C2/c (15)
- D(E_F): 6.9 states/eV/f.u.
- Excess energy over the best structure of this formula in the dataset: 330 meV per atom
- E_tot: -6.188 eV per atom